Compound: K2CdSb2
Source: Alexandria via LeMat-Bulk
Functional: PBE-GGA
Structure: optimized geometry

Output
Space-group type: P4/mbm, No. 127
ΔE_f (raw): -0.326 eV per atom
V: 173 Å³/f.u.

Structure (POSCAR):
```
K2CdSb2
1.0
7.794 0.000 0.000
0.000 7.794 0.000
0.000 0.000 5.699
Sb Cd K
4 2 4
Direct
0.635 0.135 0.000
0.365 0.865 0.000
0.865 0.635 0.000
0.135 0.365 0.000
0.000 0.000 0.000
0.500 0.500 0.000
0.167 0.667 0.500
0.833 0.333 0.500
0.333 0.167 0.500
0.667 0.833 0.500
```